Density functional theory data (GGA-PBEsol) for InFe2Te after structural relaxation.

Cell: 3.119 3.119 8.050 Å, 78.83 78.83 60.00°
Last column: magnetic moment on the atom in μB.
Element x y z (fractional)
Fe (0.254, 0.254, 0.239)  1.90
Fe (0.746, 0.746, 0.761)  1.90
Te (0.000, 0.000, 0.000)  -0.06
In (0.500, 0.500, 0.500)  -0.07

Mass density = 8894 kg/m³
M_tot = 3.6 μB per formula unit
E_tot = -22.7 eV/f.u.
SG = No. 166



Density functional theory data (GGA-PBEsol) for InFe3Te after structural relaxation.

Cell: 4.714 4.714 4.714 Å, 90.00 90.00 90.00°
Last column: magnetic moment on the atom in μB.
Element x y z (fractional)
Te (0.500, 0.500, 0.500)  0.03
Fe (0.500, 0.000, 0.000)  2.69
Fe (0.000, 0.000, 0.500)  2.69
Fe (0.000, 0.500, 0.000)  2.69
In (0.000, 0.000, 0.000)  -0.18

Mass density = 6498 kg/m³
M_tot = 8.1 μB per formula unit
E_tot = -26.0 eV/f.u.
SG = No. 221